Below is KOsIO2 after structural relaxation, with properties calculated at the GGA-PBE level.

Unit cell a=4.465 b=4.465 c=6.573 alpha=90.00 beta=90.00 gamma=90.00
Element x y z (fractional)
1 K 0.000 0.000 0.000
2 Os 0.500 0.500 0.500
3 I 0.000 0.000 0.500
4 O 0.000 0.500 0.000
5 O 0.500 0.000 0.000

Summary:
Its raw formation energy is 1.593 eV per atom. For the magnetization, the calculation gives 6.179 Bohr magnetons per cell. The offset from the most stable computed form comes out at 2037.9 meV/atom.



Below is Tm5Zn4Co after structural relaxation, with properties calculated at the GGA-PBE level.

Unit cell a=3.457 b=3.457 c=17.549 alpha=90.00 beta=90.00 gamma=90.00
Element x y z (fractional)
1 Tm 0.000 0.000 0.000
2 Tm 0.000 0.000 0.204
3 Tm 0.000 0.000 0.410
4 Tm 0.000 0.000 0.590
5 Tm 0.000 0.000 0.796
6 Zn 0.500 0.500 0.103
7 Zn 0.500 0.500 0.305
8 Zn 0.500 0.500 0.695
9 Zn 0.500 0.500 0.897
10 Co 0.500 0.500 0.500

Summary:
For the formation energy, the calculation gives -329 meV/atom. For the magnetization, the calculation gives 0.370 Bohr magnetons per cell.



Below is DyPuTeSe2 after structural relaxation, with properties calculated at the GGA-PBE level.

Unit cell a=7.725 b=7.725 c=7.725 alpha=145.71 beta=145.71 gamma=49.28
Element x y z (fractional)
1 Dy 0.000 0.000 0.000
2 Pu 0.263 0.263 0.000
3 Te 0.636 0.636 0.000
4 Se 0.386 0.886 0.500
5 Se 0.886 0.386 0.500

Summary:
Its raw formation energy is -1.149 eV per atom. For the magnetization, the calculation gives 4.987 Bohr magnetons per cell.



Below is Zr2TaTc after structural relaxation, with properties calculated at the GGA-PBE level.

Unit cell a=6.057 b=6.057 c=6.057 alpha=102.81 beta=102.81 gamma=123.83
Element x y z (fractional)
1 Zr 0.095 0.625 0.970
2 Zr 0.375 0.345 0.470
3 Zr 0.655 0.125 0.030
4 Zr 0.875 0.905 0.530
5 Ta 0.250 0.750 0.500
6 Ta 0.500 0.500 0.000
7 Tc 0.000 0.000 0.000
8 Tc 0.750 0.250 0.500

Summary:
For the formation energy, the calculation gives 448 meV/atom. For the magnetization, the calculation gives 0.000 Bohr magnetons per cell. The offset from the most stable computed form comes out at 639.5 meV/atom.